No. 1
DFT (PBE) results for a relaxed Np3Si2Ir6 crystal.

## Properties
Its total DFT energy (no corrections) is -9.83 eV/atom. Its space group is No. 229. The calculation puts the calculated density at 16.98 g/cm³.

a b c (Å): 7.872 7.872 7.872
angles (deg): 109.47 109.47 109.47
Fractional coordinates of all 22 atoms:
1 Np 0.000 0.256 0.256
2 Np 0.000 0.744 0.744
3 Np 0.744 0.000 0.744
4 Np 0.256 0.000 0.256
5 Np 0.744 0.744 0.000
6 Np 0.256 0.256 0.000
7 Ir 0.000 0.649 0.351
8 Ir 0.298 0.649 0.649
9 Ir 0.000 0.351 0.649
10 Ir 0.351 0.351 0.702
11 Ir 0.649 0.351 0.000
12 Ir 0.702 0.351 0.351
13 Ir 0.351 0.702 0.351
14 Ir 0.351 0.000 0.649
15 Ir 0.649 0.298 0.649
16 Ir 0.649 0.000 0.351
17 Ir 0.649 0.649 0.298
18 Ir 0.351 0.649 0.000
19 Si 0.000 0.000 0.500
20 Si 0.500 0.000 0.000
21 Si 0.000 0.500 0.000
22 Si 0.500 0.500 0.500

---

No. 2
DFT (PBE) results for a relaxed Er3GeO6 crystal.

## Properties
Its total DFT energy (no corrections) is -7.82 eV/atom. Its space group is No. 36. The calculation puts the calculated density at 8.38 g/cm³.

a b c (Å): 5.467 7.055 7.055
angles (deg): 102.60 90.00 90.00
Fractional coordinates of all 20 atoms:
1 Er 0.979 0.701 0.911
2 Er 0.925 0.600 0.400
3 Er 0.479 0.911 0.701
4 Er 0.479 0.299 0.089
5 Er 0.979 0.089 0.299
6 Er 0.425 0.400 0.600
7 O 0.649 0.227 0.773
8 O 0.226 0.024 0.976
9 O 0.666 0.590 0.104
10 O 0.166 0.410 0.896
11 O 0.666 0.896 0.410
12 O 0.201 0.355 0.323
13 O 0.701 0.645 0.677
14 O 0.701 0.323 0.355
15 O 0.201 0.677 0.645
16 O 0.726 0.976 0.024
17 O 0.166 0.104 0.590
18 O 0.149 0.773 0.227
19 Ge 0.495 0.825 0.175
20 Ge 0.995 0.175 0.825

---

No. 3
DFT (PBE) results for a relaxed ScSeN2Cl crystal.

## Properties
The calculation puts the energy relative to the lowest polymorph listed for this composition at 560 meV/atom. Its space group is No. 123. The calculation puts the calculated density at 4.13 g/cm³.

a b c (Å): 3.976 3.976 4.771
angles (deg): 90.00 90.00 90.00
Fractional coordinates of all 5 atoms:
1 N 0.000 0.500 0.000
2 N 0.500 0.000 0.000
3 Se 0.000 0.000 0.500
4 Sc 0.500 0.500 0.500
5 Cl 0.000 0.000 0.000

---

No. 4
DFT (PBE) results for a relaxed ScRu2Br crystal.

## Properties
The calculation puts the energy relative to the lowest polymorph listed for this composition at 264 meV/atom. Its space group is No. 47. The calculation puts the calculated density at 8.30 g/cm³.

a b c (Å): 3.060 4.759 4.494
angles (deg): 90.00 90.00 90.00
Fractional coordinates of all 4 atoms:
1 Ru 0.000 0.000 0.000
2 Ru 0.500 0.500 0.000
3 Br 0.000 0.500 0.500
4 Sc 0.500 0.000 0.500

---

No. 5
DFT (PBE) results for a relaxed V3GaSn crystal.

## Properties
The calculation puts the energy relative to the lowest polymorph listed for this composition at 0 meV/atom. The formation energy comes out at 818 meV/atom. Its space group is No. 221. The calculation puts the calculated density at 5.93 g/cm³.

a b c (Å): 4.572 4.572 4.572
angles (deg): 90.00 90.00 90.00
Fractional coordinates of all 5 atoms:
1 V 0.000 0.000 0.500
2 V 0.000 0.500 0.000
3 V 0.500 0.000 0.000
4 Sn 0.500 0.500 0.500
5 Ga 0.000 0.000 0.000

---

No. 6
DFT (PBE) results for a relaxed LaPmHo6 crystal.

## Properties
The calculation puts the energy relative to the lowest polymorph listed for this composition at 0 meV/atom. The formation energy comes out at 369 meV/atom. Its space group is No. 12. The calculation puts the calculated density at 7.43 g/cm³.

a b c (Å): 6.164 6.164 9.352
angles (deg): 85.94 117.28 114.33
Fractional coordinates of all 8 atoms:
1 Pm 0.000 0.000 0.000
2 Ho 0.701 0.377 0.079
3 Ho 0.299 0.623 0.921
4 Ho 0.840 0.941 0.298
5 Ho 0.160 0.059 0.702
6 Ho 0.643 0.542 0.702
7 Ho 0.357 0.458 0.298
8 La 0.500 0.000 0.500

---

No. 7
DFT (PBE) results for a relaxed Mg2Ti crystal.

## Properties
The formation energy comes out at 236 meV/atom. Its space group is No. 63. The calculation puts the calculated density at 2.61 g/cm³.

a b c (Å): 8.202 8.202 5.095
angles (deg): 90.00 90.00 158.98
Fractional coordinates of all 6 atoms:
1 Mg 0.778 0.222 0.750
2 Mg 0.556 0.444 0.250
3 Mg 0.222 0.778 0.250
4 Mg 0.444 0.556 0.750
5 Ti 0.107 0.893 0.750
6 Ti 0.893 0.107 0.250

---

No. 8
DFT (PBE) results for a relaxed SrH2S2 crystal.

## Properties
Its total DFT energy (no corrections) is -3.97 eV/atom. Its space group is No. 6. The calculation puts the calculated density at 2.45 g/cm³.

a b c (Å): 3.616 4.475 6.463
angles (deg): 94.37 90.00 90.00
Fractional coordinates of all 5 atoms:
1 H 0.200 0.856 0.558
2 H 0.700 0.152 0.609
3 S 0.200 0.154 0.609
4 S 0.700 0.669 0.118
5 Sr 0.200 0.169 0.106

---

No. 9
DFT (PBE) results for a relaxed V2InRe crystal.

## Properties
The formation energy comes out at 20 meV/atom. Its space group is No. 123. The calculation puts the calculated density at 10.61 g/cm³.

a b c (Å): 3.198 3.198 6.168
angles (deg): 90.00 90.00 90.00
Fractional coordinates of all 4 atoms:
1 In 0.500 0.500 0.500
2 V 0.000 0.000 0.787
3 V 0.000 0.000 0.213
4 Re 0.500 0.500 0.000

---

No. 10
DFT (PBE) results for a relaxed AsHPd2Rh crystal.

## Properties
Its total DFT energy (no corrections) is -5.24 eV/atom. Its space group is No. 123. The calculation puts the calculated density at 10.21 g/cm³.

a b c (Å): 4.023 4.023 3.936
angles (deg): 90.00 90.00 90.00
Fractional coordinates of all 5 atoms:
1 Rh 0.000 0.000 0.500
2 Pd 0.500 0.000 0.000
3 Pd 0.000 0.500 0.000
4 As 0.500 0.500 0.500
5 H 0.000 0.000 0.000

---

No. 11
DFT (PBE) results for a relaxed Nd3CdGa2 crystal.

## Properties
The calculation puts the energy relative to the lowest polymorph listed for this composition at 5 meV/atom. The formation energy comes out at -472 meV/atom. Its space group is No. 164. The calculation puts the calculated density at 7.16 g/cm³.

a b c (Å): 5.309 5.309 13.009
angles (deg): 90.00 90.00 120.00
Fractional coordinates of all 12 atoms:
1 Ga 0.667 0.333 0.826
2 Ga 0.000 0.000 0.500
3 Ga 0.333 0.667 0.174
4 Ga 0.000 0.000 0.000
5 Nd 0.000 0.000 0.760
6 Nd 0.667 0.333 0.583
7 Nd 0.333 0.667 0.926
8 Nd 0.667 0.333 0.074
9 Nd 0.333 0.667 0.417
10 Nd 0.000 0.000 0.240
11 Cd 0.333 0.667 0.672
12 Cd 0.667 0.333 0.328

---

No. 12
DFT (PBE) results for a relaxed FeCuPt2 crystal.

## Properties
The formation energy comes out at -199 meV/atom. Its space group is No. 166. The calculation puts the calculated density at 15.04 g/cm³.

a b c (Å): 8.844 8.844 8.844
angles (deg): 17.77 17.77 17.77
Fractional coordinates of all 4 atoms:
1 Pt 0.001 0.001 0.001
2 Pt 0.499 0.499 0.499
3 Cu 0.250 0.250 0.250
4 Fe 0.750 0.750 0.750

---

No. 13
DFT (PBE) results for a relaxed SrGa4PdRh2 crystal.

## Properties
The formation energy comes out at -594 meV/atom. Its space group is No. 166. The calculation puts the calculated density at 7.62 g/cm³.

a b c (Å): 4.279 4.279 9.653
angles (deg): 77.20 77.20 60.00
Fractional coordinates of all 8 atoms:
1 Rh 0.228 0.228 0.317
2 Rh 0.772 0.772 0.683
3 Ga 0.594 0.594 0.217
4 Ga 0.869 0.869 0.393
5 Ga 0.406 0.406 0.783
6 Ga 0.131 0.131 0.607
7 Pd 0.500 0.500 0.500
8 Sr 0.000 0.000 0.000

---

No. 14
DFT (PBE) results for a relaxed InMo2Br crystal.

## Properties
The calculation puts the energy relative to the lowest polymorph listed for this composition at 880 meV/atom. Its space group is No. 139. The calculation puts the calculated density at 8.52 g/cm³.

a b c (Å): 5.418 5.418 5.418
angles (deg): 136.13 136.13 63.78
Fractional coordinates of all 4 atoms:
1 Mo 0.000 0.000 0.000
2 Mo 0.500 0.500 0.000
3 In 0.750 0.250 0.500
4 Br 0.250 0.750 0.500